Record 1
Ta2Re2Mo15 | GGA-PBE | optimized geometry

Cell and atoms, written as CIF:
```
data_Ta2Re2Mo15
_chemical_formula_sum 'Ta6 Re6 Mo45'
_cell_length_a 8.8291
_cell_length_b 8.8291
_cell_length_c 14.2779
_cell_angle_alpha 90.00
_cell_angle_beta 90.00
_cell_angle_gamma 120.00
_space_group_name_H-M_alt 'R -3 m'
_space_group_IT_number 166
_space_group_name_Hall '-R 3 2"'
loop_
_atom_site_label
_atom_site_type_symbol
_atom_site_fract_x
_atom_site_fract_y
_atom_site_fract_z
_atom_site_occupancy
Ta1 Ta 0.0000 0.0000 0.1775 1
Re1 Re 0.0000 0.0000 0.4130 1
Mo1 Mo 0.0000 0.3233 0.5000 1
Mo2 Mo 0.0000 0.5000 0.0000 1
Mo3 Mo 0.0065 0.5033 0.6622 1
```

Summary:
Total energy   -615.87 eV/cell
DOS at the Fermi energy   0.870 states/eV per atom

---

Record 2
TaRe4Mo | GGA-PBE | optimized geometry

Cell and atoms, written as CIF:
```
data_TaRe4Mo
_chemical_formula_sum 'Ta4 Re16 Mo4'
_cell_length_a 7.312
_cell_length_b 7.312
_cell_length_c 7.312
_cell_angle_alpha 90.00
_cell_angle_beta 90.00
_cell_angle_gamma 90.00
_space_group_name_H-M_alt 'F -4 3 m'
_space_group_IT_number 216
_space_group_name_Hall 'F -4 2 3'
loop_
_atom_site_label
_atom_site_type_symbol
_atom_site_fract_x
_atom_site_fract_y
_atom_site_fract_z
_atom_site_occupancy
Ta1 Ta 0.000 0.000 0.000 1
Re1 Re 0.126 0.126 0.374 1
Mo1 Mo 0.250 0.250 0.750 1
```

Summary:
Total energy   -288.40 eV/cell
DOS at the Fermi energy   1.279 states/eV per atom

---

Record 3
TaReMo2 | GGA-PBE | optimized geometry

Cell and atoms, written as CIF:
```
data_TaReMo2
_chemical_formula_sum 'Ta1 Re1 Mo2'
_cell_length_a 4.493
_cell_length_b 4.493
_cell_length_c 3.188
_cell_angle_alpha 90.00
_cell_angle_beta 90.00
_cell_angle_gamma 90.00
_space_group_name_H-M_alt 'P 4/m m m'
_space_group_IT_number 123
_space_group_name_Hall '-P 4 2'
loop_
_atom_site_label
_atom_site_type_symbol
_atom_site_fract_x
_atom_site_fract_y
_atom_site_fract_z
_atom_site_occupancy
Ta1 Ta 0.000 0.000 0.000 1
Re1 Re 0.500 0.500 0.000 1
Mo1 Mo 0.000 0.500 0.500 1
```

Summary:
Total energy   -46.46 eV/cell
DOS at the Fermi energy   0.614 states/eV per atom

---

Record 4
TaReMo2 | GGA-PBE | optimized geometry

Cell and atoms, written as CIF:
```
data_TaReMo2
_chemical_formula_sum 'Ta2 Re2 Mo4'
_cell_length_a 5.493
_cell_length_b 8.985
_cell_length_c 2.772
_cell_angle_alpha 90.00
_cell_angle_beta 109.60
_cell_angle_gamma 90.00
_space_group_name_H-M_alt 'C 1 2/m 1'
_space_group_IT_number 12
_space_group_name_Hall '-C 2y'
loop_
_atom_site_label
_atom_site_type_symbol
_atom_site_fract_x
_atom_site_fract_y
_atom_site_fract_z
_atom_site_occupancy
Ta1 Ta 0.000 0.000 0.000 1
Re1 Re 0.000 0.500 0.000 1
Mo1 Mo 0.250 0.250 0.500 1
```

Summary:
Total energy   -92.87 eV/cell
DOS at the Fermi energy   0.630 states/eV per atom

---

Record 5
TaReMo4 | GGA-PBE | optimized geometry

Cell and atoms, written as CIF:
```
data_TaReMo4
_chemical_formula_sum 'Ta1 Re1 Mo4'
_cell_length_a 3.168
_cell_length_b 3.174
_cell_length_c 9.567
_cell_angle_alpha 90.00
_cell_angle_beta 90.06
_cell_angle_gamma 90.00
_space_group_name_H-M_alt 'P 1 2/m 1'
_space_group_IT_number 10
_space_group_name_Hall '-P 2y'
loop_
_atom_site_label
_atom_site_type_symbol
_atom_site_fract_x
_atom_site_fract_y
_atom_site_fract_z
_atom_site_occupancy
Ta1 Ta 0.000 0.000 0.000 1
Re1 Re 0.500 0.500 0.500 1
Mo1 Mo 0.000 0.000 0.334 1
Mo2 Mo 0.500 0.500 0.172 1
```

Summary:
Total energy   -68.03 eV/cell
DOS at the Fermi energy   0.655 states/eV per atom

---

Record 6
TaReMo2 | GGA-PBE | optimized geometry

Cell and atoms, written as CIF:
```
data_TaReMo2
_chemical_formula_sum 'Ta4 Re4 Mo8'
_cell_length_a 6.363
_cell_length_b 6.363
_cell_length_c 6.363
_cell_angle_alpha 90.00
_cell_angle_beta 90.00
_cell_angle_gamma 90.00
_space_group_name_H-M_alt 'F -4 3 m'
_space_group_IT_number 216
_space_group_name_Hall 'F -4 2 3'
loop_
_atom_site_label
_atom_site_type_symbol
_atom_site_fract_x
_atom_site_fract_y
_atom_site_fract_z
_atom_site_occupancy
Ta1 Ta 0.000 0.000 0.000 1
Re1 Re 0.250 0.250 0.750 1
Mo1 Mo 0.000 0.000 0.500 1
Mo2 Mo 0.250 0.250 0.250 1
```

Summary:
Total energy   -186.59 eV/cell
DOS at the Fermi energy   0.545 states/eV per atom

---

Record 7
TaReMo3 | GGA-PBE | optimized geometry

Cell and atoms, written as CIF:
```
data_TaReMo3
_chemical_formula_sum 'Ta4 Re4 Mo12'
_cell_length_a 4.789
_cell_length_b 13.560
_cell_length_c 5.318
_cell_angle_alpha 90.00
_cell_angle_beta 107.79
_cell_angle_gamma 90.00
_space_group_name_H-M_alt 'C 1 2/c 1'
_space_group_IT_number 15
_space_group_name_Hall '-C 2yc'
loop_
_atom_site_label
_atom_site_type_symbol
_atom_site_fract_x
_atom_site_fract_y
_atom_site_fract_z
_atom_site_occupancy
Ta1 Ta 0.000 0.198 0.250 1
Re1 Re 0.000 0.000 0.000 1
Mo1 Mo 0.000 0.199 0.750 1
Mo2 Mo 0.010 0.399 0.004 1
```

Summary:
Total energy   -222.76 eV/cell
DOS at the Fermi energy   0.731 states/eV per atom

---

Record 8
TaRe2Mo6 | GGA-PBE | optimized geometry

Cell and atoms, written as CIF:
```
data_TaRe2Mo6
_chemical_formula_sum 'Ta2 Re4 Mo12'
_cell_length_a 6.993
_cell_length_b 13.482
_cell_length_c 3.109
_cell_angle_alpha 90.00
_cell_angle_beta 98.28
_cell_angle_gamma 90.00
_space_group_name_H-M_alt 'C 1 2/m 1'
_space_group_IT_number 12
_space_group_name_Hall '-C 2y'
loop_
_atom_site_label
_atom_site_type_symbol
_atom_site_fract_x
_atom_site_fract_y
_atom_site_fract_z
_atom_site_occupancy
Ta1 Ta 0.000 0.000 0.000 1
Re1 Re 0.000 0.166 0.500 1
Mo1 Mo 0.159 0.500 0.328 1
Mo2 Mo 0.170 0.334 0.836 1
```

Summary:
Total energy   -201.50 eV/cell
DOS at the Fermi energy   0.735 states/eV per atom

---

Record 9
Ta14ReMo | GGA-PBE | optimized geometry

Cell and atoms, written as CIF:
```
data_Ta14ReMo
_chemical_formula_sum 'Ta14 Re1 Mo1'
_cell_length_a 6.568
_cell_length_b 6.568
_cell_length_c 6.597
_cell_angle_alpha 90.00
_cell_angle_beta 90.00
_cell_angle_gamma 90.00
_space_group_name_H-M_alt 'P 4/m m m'
_space_group_IT_number 123
_space_group_name_Hall '-P 4 2'
loop_
_atom_site_label
_atom_site_type_symbol
_atom_site_fract_x
_atom_site_fract_y
_atom_site_fract_z
_atom_site_occupancy
Ta1 Ta 0.000 0.000 0.000 1
Ta2 Ta 0.000 0.500 0.000 1
Ta3 Ta 0.000 0.500 0.500 1
Ta4 Ta 0.249 0.249 0.256 1
Ta5 Ta 0.500 0.500 0.000 1
Re1 Re 0.000 0.000 0.500 1
Mo1 Mo 0.500 0.500 0.500 1
```

Summary:
Total energy   -190.41 eV/cell
DOS at the Fermi energy   1.272 states/eV per atom

---

Record 10
TaReMo2 | GGA-PBE | optimized geometry

Cell and atoms, written as CIF:
```
data_TaReMo2
_chemical_formula_sum 'Ta2 Re2 Mo4'
_cell_length_a 3.177
_cell_length_b 4.484
_cell_length_c 9.064
_cell_angle_alpha 90.00
_cell_angle_beta 90.00
_cell_angle_gamma 90.00
_space_group_name_H-M_alt 'I m m m'
_space_group_IT_number 71
_space_group_name_Hall '-I 2 2'
loop_
_atom_site_label
_atom_site_type_symbol
_atom_site_fract_x
_atom_site_fract_y
_atom_site_fract_z
_atom_site_occupancy
Ta1 Ta 0.000 0.000 0.000 1
Re1 Re 0.000 0.000 0.500 1
Mo1 Mo 0.000 0.500 0.249 1
```

Summary:
Total energy   -93.18 eV/cell
DOS at the Fermi energy   0.599 states/eV per atom

---

Record 11
Ta12ReMo6 | GGA-PBE | optimized geometry

Cell and atoms, written as CIF:
```
data_Ta12ReMo6
_chemical_formula_sum 'Ta36 Re3 Mo18'
_cell_length_a 12.6726
_cell_length_b 12.6726
_cell_length_c 7.2864
_cell_angle_alpha 90.00
_cell_angle_beta 90.00
_cell_angle_gamma 120.00
_space_group_name_H-M_alt 'R -3'
_space_group_IT_number 148
_space_group_name_Hall '-R 3'
loop_
_atom_site_label
_atom_site_type_symbol
_atom_site_fract_x
_atom_site_fract_y
_atom_site_fract_z
_atom_site_occupancy
Ta1 Ta 0.0019 0.8701 0.3183 1
Ta2 Ta 0.0707 0.5904 0.6403 1
Re1 Re 0.0000 0.0000 0.0000 1
Mo1 Mo 0.0285 0.2655 0.3681 1
```

Summary:
Total energy   -646.91 eV/cell
DOS at the Fermi energy   1.003 states/eV per atom

---

What did the eighth record say?
TaRe2Mo6 | GGA-PBE | optimized geometry

Cell and atoms, written as CIF:
```
data_TaRe2Mo6
_chemical_formula_sum 'Ta2 Re4 Mo12'
_cell_length_a 6.993
_cell_length_b 13.482
_cell_length_c 3.109
_cell_angle_alpha 90.00
_cell_angle_beta 98.28
_cell_angle_gamma 90.00
_space_group_name_H-M_alt 'C 1 2/m 1'
_space_group_IT_number 12
_space_group_name_Hall '-C 2y'
loop_
_atom_site_label
_atom_site_type_symbol
_atom_site_fract_x
_atom_site_fract_y
_atom_site_fract_z
_atom_site_occupancy
Ta1 Ta 0.000 0.000 0.000 1
Re1 Re 0.000 0.166 0.500 1
Mo1 Mo 0.159 0.500 0.328 1
Mo2 Mo 0.170 0.334 0.836 1
```

Summary:
Total energy   -201.50 eV/cell
DOS at the Fermi energy   0.735 states/eV per atom

---

Q: The lowest total energy belongs to which entry?
A: Ta12ReMo6

---

Q: The highest total energy belongs to which entry?
A: number 3